Below is a relaxed Mg2FeGeO crystal, with properties calculated at the PBE+U level.

Unit cell a=4.0990 b=4.0990 c=4.4588 alpha=90.00 beta=90.00 gamma=90.00
Last column: nearest neighbours and their distance in Å.
Space group P4/mmm (No. 123)
One atom of each set of equivalent atoms:
Mg1 0.0000 0.5000 0.0000 (multiplicity 2)  2 O 2.05
Fe1 0.0000 0.0000 0.5000 (multiplicity 1)  2 O 2.23
Ge1 0.5000 0.5000 0.5000 (multiplicity 1)  4 Fe 2.90, 8 Mg 3.03
O1 0.0000 0.0000 0.0000 (multiplicity 1)  4 Mg 2.05, 2 Fe 2.23

N(E_F) in states/eV/atom: 0.988
Final energy in eV for the cell shown: -21.45
Crystal system: tetragonal